(1)
DFT (PBE) results for a geometry-optimized AgHgSe structure.

POSCAR file:
```
AgHgSe
1.0
-4.3135 -0.0127 2.7120
0.1748 -2.9815 4.1282
3.0097 3.6389 -1.9136
Se Ag Hg
1 1 1
Cartesian
-2.7650 -2.0003 4.5697 Se
-4.1385 -2.9940 6.8397 Ag
-1.3741 -0.9941 2.2709 Hg
```

The calculation puts the formation energy from raw total energies at 0.1244 eV/atom. The density of states at the Fermi level comes out at 1.90 states/eV per cell. The volume comes out at 22.028 Å³ per atom.


(2)
DFT (PBE) results for a geometry-optimized AgHgSe structure.

POSCAR file:
```
AgHgSe
1.0
4.2371 0.0000 0.0000
-2.1186 3.6695 0.0000
0.0000 0.0000 4.5248
Hg Se Ag
1 1 1
Cartesian
2.1186 1.2232 1.4960 Hg
0.0000 2.4463 3.1698 Se
0.0000 0.0000 4.3838 Ag
```

The calculation puts the formation energy from raw total energies at 0.0426 eV/atom. The density of states at the Fermi level comes out at 1.01 states/eV per cell. The volume comes out at 23.451 Å³ per atom.


So what do the calculations give for polymorph energy (0 for the lowest one)? Going down the list: 220; 139 meV per atom.
So what do the calculations give for uncorrected energy? Going down the list: -2.0881; -2.1699 eV/atom.